A geometry-optimized KFeCu2 structure, computed with PBEsol.

a b c (Å): 2.7301 2.7301 8.6193
angles (deg): 90.00 90.00 90.00
Last column: magnetic moment on the atom in μB.
Atoms (fractional coordinates):
Cu: 0.0000 0.0000 0.0675  -0.02
Cu: 0.5000 0.5000 0.2455  0.06
Fe: 0.0000 0.0000 0.4297  2.70
K: 0.5000 0.5000 0.7573  -0.05

Values from the calculation:
- formation energy from the elements (eV per atom) = 0.69
- relative energy among the computed polymorphs (meV per atom) = 134.5
- E (eV per atom) = -4.000